First-principles (PBE) data for an optimized crystal structure of SrSc2CdGe, as listed in Alexandria.

abc: 5.3493 5.4868 5.3493
angles: 90.00 90.00 90.00
Atoms (fractional coordinates):
Sc (0.0000, 0.0000, 0.5000)
Sc (0.5000, 0.0000, 0.0000)
Sr (0.0000, 0.0000, 0.0000)
Ge (0.0000, 0.5000, 0.0000)
Cd (0.5000, 0.5000, 0.5000)

Output
Energy: -13.74 eV per formula unit
DOS(E_F): 5.98 states/eV/cell
SG: No. 123
Calculated formation energy: 1.228 eV/atom

First-principles (PBE) data for an optimized crystal structure of Sc2TaCdGe, as listed in Alexandria.

abc: 4.9716 4.8742 4.9716
angles: 90.00 90.00 90.00
Atoms (fractional coordinates):
Sc (0.0000, 0.0000, 0.5000)
Sc (0.5000, 0.0000, 0.0000)
Ge (0.0000, 0.0000, 0.0000)
Cd (0.5000, 0.5000, 0.5000)
Ta (0.0000, 0.5000, 0.0000)

Output
Energy: -28.80 eV per formula unit
DOS(E_F): 3.19 states/eV/cell
SG: No. 123
Calculated formation energy: 0.250 eV/atom

First-principles (PBE) data for an optimized crystal structure of TbScCdGe, as listed in Alexandria.

abc: 5.0145 5.0145 5.0145
angles: 60.00 60.00 60.00
Atoms (fractional coordinates):
Sc (0.5000, 0.5000, 0.5000)
Ge (0.2500, 0.2500, 0.2500)
Tb (0.0000, 0.0000, 0.0000)
Cd (0.7500, 0.7500, 0.7500)

Output
Energy: -18.28 eV per formula unit
DOS(E_F): 2.55 states/eV/cell
SG: No. 216
Calculated formation energy: -0.447 eV/atom

First-principles (PBE) data for an optimized crystal structure of ScCdGeW2, as listed in Alexandria.

abc: 4.7038 5.2840 4.7038
angles: 90.00 90.00 90.00
Last column: magnetic moment on the atom in μB.
Atoms (fractional coordinates):
Sc (0.0000, 0.0000, 0.0000)  0.04
Ge (0.5000, 0.5000, 0.5000)  0.00
W (0.0000, 0.0000, 0.5000)  0.41
W (0.5000, 0.0000, 0.0000)  0.66
Cd (0.0000, 0.5000, 0.0000)  -0.01

Output
Energy: -27.02 eV per formula unit
DOS(E_F): 5.85 states/eV/cell
SG: No. 123
Energy above the most stable polymorph in this dataset: 0 meV/atom
Calculated formation energy: 2.150 eV/atom

First-principles (PBE) data for an optimized crystal structure of ScCdGeW2, as listed in Alexandria.

abc: 4.9847 4.9847 5.0033
angles: 90.00 90.00 90.00
Last column: magnetic moment on the atom in μB.
Atoms (fractional coordinates):
Sc (0.0000, 0.0000, 0.5000)  -0.06
Ge (0.5000, 0.5000, 0.5000)  -0.07
W (0.0000, 0.5000, 0.0000)  1.57
W (0.5000, 0.0000, 0.0000)  1.57
Cd (0.0000, 0.0000, 0.0000)  0.03

Output
Energy: -27.00 eV per formula unit
DOS(E_F): 6.01 states/eV/cell
SG: No. 123
Energy above the most stable polymorph in this dataset: 5 meV/atom
Calculated formation energy: 2.155 eV/atom

First-principles (PBE) data for an optimized crystal structure of CdGe3Se, as listed in Alexandria.

abc: 5.1559 5.1559 5.1559
angles: 90.00 90.00 90.00
Atoms (fractional coordinates):
Ge (0.0000, 0.5000, 0.0000)
Ge (0.0000, 0.0000, 0.5000)
Ge (0.5000, 0.0000, 0.0000)
Se (0.5000, 0.5000, 0.5000)
Cd (0.0000, 0.0000, 0.0000)

Output
Energy: -14.13 eV per formula unit
DOS(E_F): 2.84 states/eV/cell
SG: No. 221
Energy above the most stable polymorph in this dataset: 184 meV/atom

First-principles (PBE) data for an optimized crystal structure of CdGe2Se, as listed in Alexandria.

abc: 4.9490 4.9490 4.9490
angles: 60.00 60.00 60.00
Atoms (fractional coordinates):
Ge (0.2500, 0.2500, 0.2500)
Ge (0.7500, 0.7500, 0.7500)
Se (0.0000, 0.0000, 0.0000)
Cd (0.5000, 0.5000, 0.5000)

Output
Energy: -12.40 eV per formula unit
DOS(E_F): 2.80 states/eV/cell
SG: No. 225
Energy above the most stable polymorph in this dataset: 139 meV/atom

First-principles (PBE) data for an optimized crystal structure of Cd2GeSe, as listed in Alexandria.

abc: 6.5937 6.5937 7.1384
angles: 62.49 62.49 90.00
Atoms (fractional coordinates):
Ge (0.5000, 0.5000, 0.0000)
Ge (0.2500, 0.7500, 0.5000)
Se (0.0000, 0.0000, 0.0000)
Se (0.7500, 0.2500, 0.5000)
Cd (0.6265, 0.1250, 0.2500)
Cd (0.1235, 0.6250, 0.2500)
Cd (0.3750, 0.3735, 0.7500)
Cd (0.8750, 0.8765, 0.7500)

Output
Energy: -9.85 eV per formula unit
DOS(E_F): 1.35 states/eV/cell
SG: No. 122
Energy above the most stable polymorph in this dataset: 0 meV/atom

First-principles (PBE) data for an optimized crystal structure of Cd2GeSe, as listed in Alexandria.

abc: 5.0111 5.0111 5.0111
angles: 60.00 60.00 60.00
Atoms (fractional coordinates):
Ge (0.0000, 0.0000, 0.0000)
Se (0.5000, 0.5000, 0.5000)
Cd (0.2500, 0.2500, 0.2500)
Cd (0.7500, 0.7500, 0.7500)

Output
Energy: -8.92 eV per formula unit
DOS(E_F): 4.24 states/eV/cell
SG: No. 225
Energy above the most stable polymorph in this dataset: 232 meV/atom

First-principles (PBE) data for an optimized crystal structure of CdGe3Se, as listed in Alexandria.

abc: 5.1776 5.1776 5.1776
angles: 90.00 90.00 90.00
Atoms (fractional coordinates):
Ge (0.0000, 0.5000, 0.0000)
Ge (0.0000, 0.0000, 0.5000)
Ge (0.5000, 0.0000, 0.0000)
Se (0.0000, 0.0000, 0.0000)
Cd (0.5000, 0.5000, 0.5000)

Output
Energy: -15.05 eV per formula unit
DOS(E_F): 1.86 states/eV/cell
SG: No. 221
Energy above the most stable polymorph in this dataset: 0 meV/atom

First-principles (PBE) data for an optimized crystal structure of Cd3GeSe, as listed in Alexandria.

abc: 5.1340 5.1340 5.1340
angles: 90.00 90.00 90.00
Atoms (fractional coordinates):
Ge (0.0000, 0.0000, 0.0000)
Se (0.5000, 0.5000, 0.5000)
Cd (0.0000, 0.5000, 0.0000)
Cd (0.0000, 0.0000, 0.5000)
Cd (0.5000, 0.0000, 0.0000)

Output
Energy: -9.90 eV per formula unit
DOS(E_F): 2.14 states/eV/cell
SG: No. 221
Energy above the most stable polymorph in this dataset: 0 meV/atom

First-principles (PBE) data for an optimized crystal structure of Cd3Ge5Se12, as listed in Alexandria.

abc: 13.8770 13.8770 13.8770
angles: 109.47 109.47 109.47
Atoms (fractional coordinates):
Cd (0.7500, 0.3750, 0.1250)
Cd (0.8750, 0.7500, 0.1250)
Cd (0.3750, 0.7500, 0.6250)
Cd (0.2500, 0.1250, 0.3750)
Cd (0.8750, 0.1250, 0.2500)
Cd (0.3750, 0.6250, 0.2500)
Cd (0.6250, 0.3750, 0.7500)
Cd (0.1250, 0.8750, 0.7500)
Cd (0.7500, 0.8750, 0.6250)
Cd (0.6250, 0.2500, 0.3750)
Cd (0.1250, 0.2500, 0.8750)
Cd (0.2500, 0.6250, 0.8750)
Ge (0.1250, 0.3750, 0.2500)
Ge (0.0000, 0.5000, 0.0000)
Ge (0.0000, 0.0000, 0.0000)
Ge (0.3750, 0.2500, 0.1250)
Ge (0.5000, 0.0000, 0.5000)
Ge (0.5000, 0.5000, 0.0000)
Ge (0.1250, 0.7500, 0.3750)
Ge (0.7500, 0.1250, 0.8750)
Ge (0.7500, 0.6250, 0.3750)
Ge (0.3750, 0.1250, 0.7500)
Ge (0.6250, 0.8750, 0.2500)
Ge (0.5000, 0.5000, 0.5000)
Ge (0.5000, 0.0000, 0.0000)
Ge (0.0000, 0.0000, 0.5000)
Ge (0.2500, 0.3750, 0.6250)
Ge (0.2500, 0.8750, 0.1250)
Ge (0.0000, 0.5000, 0.5000)
Ge (0.8750, 0.2500, 0.6250)
Ge (0.6250, 0.7500, 0.8750)
Ge (0.8750, 0.6250, 0.7500)
Se (0.7158, 0.1298, 0.0359)
Se (0.3201, 0.5359, 0.4061)
Se (0.9641, 0.3702, 0.2842)
Se (0.5359, 0.2158, 0.1298)
Se (0.5860, 0.7158, 0.6799)
Se (0.9641, 0.5939, 0.1799)
Se (0.3201, 0.7842, 0.4140)
Se (0.0939, 0.9140, 0.1298)
Se (0.5939, 0.9641, 0.6799)
Se (0.7158, 0.5860, 0.1799)
Se (0.7842, 0.4641, 0.3702)
Se (0.8201, 0.9061, 0.0359)
Se (0.1298, 0.7158, 0.5359)
Se (0.3702, 0.4061, 0.0860)
Se (0.0860, 0.9061, 0.3702)
Se (0.4140, 0.1298, 0.5939)
Se (0.0860, 0.1799, 0.2158)
Se (0.4641, 0.6799, 0.0939)
Se (0.8201, 0.9140, 0.2842)
Se (0.1298, 0.4140, 0.0939)
Se (0.3702, 0.9641, 0.7842)
Se (0.5939, 0.6298, 0.4140)
Se (0.9061, 0.8201, 0.5359)
Se (0.7842, 0.3201, 0.9140)
Se (0.4061, 0.3702, 0.5860)
Se (0.0939, 0.1799, 0.4641)
Se (0.2158, 0.6799, 0.0860)
Se (0.1799, 0.0860, 0.7158)
Se (0.6298, 0.0359, 0.2158)
Se (0.8702, 0.5860, 0.9061)
Se (0.5359, 0.3201, 0.9061)
Se (0.5860, 0.8702, 0.4061)
Se (0.9140, 0.8201, 0.7842)
Se (0.9140, 0.0939, 0.6298)
Se (0.8702, 0.2842, 0.4641)
Se (0.1799, 0.0939, 0.9641)
Se (0.6298, 0.5939, 0.9140)
Se (0.4061, 0.0359, 0.3201)
Se (0.2842, 0.4140, 0.8201)
Se (0.2158, 0.5359, 0.6298)
Se (0.9061, 0.0860, 0.8702)
Se (0.6799, 0.2158, 0.5860)
Se (0.4641, 0.7842, 0.8702)
Se (0.0359, 0.4061, 0.8201)
Se (0.4140, 0.2842, 0.3201)
Se (0.0359, 0.6298, 0.7158)
Se (0.6799, 0.4641, 0.5939)
Se (0.2842, 0.8702, 0.9641)

Output
Energy: -71.32 eV per formula unit
DOS(E_F): 25.53 states/eV/cell
SG: No. 230

no.,mass density (g/cm³)
1,3.83
2,6.28
3,7.24
4,8.49
5,7.98
6,4.96
7,6.52
8,5.32
9,7.02
10,4.90
11,6.00
12,5.32